Record 1
Crystalline CaPr3Sm4S8 at its relaxed geometry. Source: Alexandria via LeMat-Bulk, functional PBE.

Lattice parameters (Å, degrees): 8.101 8.095 8.101 120.02 120.00 90.00
Atoms (fractional coordinates):
S (0.247, 0.241, 0.494)
Sm (0.500, 0.000, 0.000)
S (0.248, 0.754, 0.497)
S (0.752, 0.246, 0.994)
S (0.757, 0.754, 0.006)
Sm (0.000, 0.000, 0.000)
S (0.753, 0.759, 0.506)
S (0.243, 0.246, 0.994)
Ca (0.000, 0.500, 0.000)
Pr (0.500, 0.500, 0.500)
S (0.752, 0.246, 0.503)
S (0.248, 0.754, 0.006)
Sm (0.500, 0.000, 0.500)
Pr (0.500, 0.500, 0.000)
Sm (0.000, 0.000, 0.500)
Pr (0.000, 0.500, 0.500)

Values from the calculation:
As for the magnetic moment: 0.000 μB per atom. The value obtained for the uncorrected formation energy is -2024.9 meV/atom. The density is 5840 kg/m3.


Record 2
Crystalline Ca2PrSmS4 at its relaxed geometry. Source: Alexandria via LeMat-Bulk, functional PBE.

Lattice parameters (Å, degrees): 4.017 6.952 7.088 109.10 90.00 90.00
Atoms (fractional coordinates):
S (0.500, 0.248, 0.254)
Ca (0.500, 0.000, 0.500)
Sm (0.000, 0.000, 0.000)
S (0.500, 0.752, 0.746)
Ca (0.000, 0.500, 0.500)
Pr (0.500, 0.500, 0.000)
S (0.000, 0.243, 0.743)
S (0.000, 0.757, 0.257)

Values from the calculation:
As for the magnetic moment: 0.000 μB per atom. The value obtained for the uncorrected formation energy is -2054.9 meV/atom. The density is 4436 kg/m3.


Record 3
Crystalline SrCaPr2S4 at its relaxed geometry. Source: Alexandria via LeMat-Bulk, functional PBE.

Lattice parameters (Å, degrees): 8.256 8.256 8.253 119.99 119.99 90.00
Atoms (fractional coordinates):
S (0.757, 0.253, 0.505)
S (0.247, 0.253, 0.996)
S (0.247, 0.253, 0.504)
Ca (0.000, 0.500, 0.500)
Pr (0.500, 0.000, 0.500)
S (0.247, 0.743, 0.995)
Sr (0.500, 0.500, 0.500)
S (0.243, 0.747, 0.495)
Pr (0.000, 0.000, 0.500)
Pr (0.500, 0.000, 0.000)
Sr (0.000, 0.000, 0.000)
S (0.753, 0.747, 0.496)
S (0.753, 0.747, 0.004)
Ca (0.000, 0.500, 0.000)
Pr (0.500, 0.500, 0.000)
S (0.753, 0.257, 0.005)

Values from the calculation:
As for the magnetic moment: 0.000 μB per atom. The value obtained for the uncorrected formation energy is -2042.8 meV/atom. The density is 4487 kg/m3.


Record 4
Crystalline SrCa2PrS4 at its relaxed geometry. Source: Alexandria via LeMat-Bulk, functional PBE.

Lattice parameters (Å, degrees): 4.099 7.115 7.142 70.62 90.00 90.00
Atoms (fractional coordinates):
Ca (0.000, 0.000, 0.000)
S (0.000, 0.760, 0.741)
Ca (0.500, 0.000, 0.500)
S (0.500, 0.242, 0.749)
S (0.500, 0.758, 0.251)
Sr (0.500, 0.500, 0.000)
S (0.000, 0.240, 0.259)
Pr (0.000, 0.500, 0.500)

Values from the calculation:
As for the magnetic moment: 0.000 μB per atom. The value obtained for the uncorrected formation energy is -2079.5 meV/atom. The density is 3692 kg/m3.


Record 5
Crystalline Sr2CaPrS4 at its relaxed geometry. Source: Alexandria via LeMat-Bulk, functional PBE.

Lattice parameters (Å, degrees): 4.158 7.216 7.252 109.35 90.00 90.00
Atoms (fractional coordinates):
Sr (0.000, 0.500, 0.500)
Pr (0.500, 0.500, 0.000)
Ca (0.000, 0.000, 0.000)
S (0.500, 0.756, 0.763)
S (0.000, 0.251, 0.760)
S (0.000, 0.749, 0.240)
S (0.500, 0.244, 0.237)
Sr (0.500, 0.000, 0.500)

Values from the calculation:
As for the magnetic moment: 0.000 μB per atom. The value obtained for the uncorrected formation energy is -2083.5 meV/atom. The density is 3919 kg/m3.


Record 6
Crystalline CaTbPr2S4 at its relaxed geometry. Source: Alexandria via LeMat-Bulk, functional PBE.

Lattice parameters (Å, degrees): 4.008 6.965 7.056 109.00 90.00 90.00
Atoms (fractional coordinates):
Pr (0.500, 0.000, 0.500)
S (0.500, 0.248, 0.237)
Pr (0.000, 0.500, 0.500)
S (0.000, 0.256, 0.766)
Tb (0.500, 0.500, 0.000)
S (0.500, 0.752, 0.763)
Ca (0.000, 0.000, 0.000)
S (0.000, 0.744, 0.234)

Values from the calculation:
As for the magnetic moment: 0.000 μB per atom. The value obtained for the uncorrected formation energy is -2035.6 meV/atom. The density is 5430 kg/m3.


Record 7
Crystalline CaTb2PrS4 at its relaxed geometry. Source: Alexandria via LeMat-Bulk, functional PBE.

Lattice parameters (Å, degrees): 3.972 6.922 6.946 70.92 90.00 90.00
Atoms (fractional coordinates):
S (0.000, 0.761, 0.740)
Ca (0.000, 0.500, 0.500)
Tb (0.500, 0.000, 0.500)
S (0.000, 0.239, 0.260)
S (0.500, 0.242, 0.747)
Tb (0.000, 0.000, 0.000)
S (0.500, 0.758, 0.253)
Pr (0.500, 0.500, 0.000)

Values from the calculation:
As for the magnetic moment: 0.000 μB per atom. The value obtained for the uncorrected formation energy is -2032.2 meV/atom. The density is 5770 kg/m3.


Record 8
Crystalline CaTb4PrS8 at its relaxed geometry. Source: Alexandria via LeMat-Bulk, functional PBE.

Lattice parameters (Å, degrees): 8.145 8.145 8.213 60.28 60.28 60.00
Atoms (fractional coordinates):
S (0.240, 0.240, 0.281)
Tb (0.626, 0.626, 0.123)
S (0.758, 0.758, 0.725)
S (0.752, 0.752, 0.267)
Ca (0.374, 0.374, 0.878)
Tb (0.002, 0.494, 0.502)
S (0.778, 0.246, 0.730)
S (0.230, 0.752, 0.267)
S (0.246, 0.246, 0.730)
Tb (0.494, 0.002, 0.502)
Pr (0.002, 0.002, 0.995)
Tb (0.002, 0.002, 0.502)
S (0.752, 0.230, 0.267)
S (0.246, 0.778, 0.730)

Values from the calculation:
As for the magnetic moment: 0.000 μB per atom. The value obtained for the uncorrected formation energy is -1988.8 meV/atom. The density is 4607 kg/m3.